The following is a PBE-GGA calculation of RbLa2YRu after structural relaxation, from Alexandria.

Properties
The value obtained for the formation energy is 0.05 eV/atom. The raw total energy is -5.266 eV/atom.

a b c (Å): 5.6847 5.6847 5.6977
angles (deg): 90.00 90.00 90.00
Atoms (fractional coordinates):
1 Rb 0.0000 0.0000 0.0000
2 La 0.0000 0.5000 0.5000
3 La 0.5000 0.0000 0.5000
4 Y 0.5000 0.5000 0.0000
5 Ru 0.5000 0.5000 0.5000



The following is a PBE-GGA calculation of CaAgHgSb after structural relaxation, from Alexandria.

Properties
The raw total energy is -2.719 eV/atom. As for the uncorrected formation energy: -399.7 meV per atom.

a b c (Å): 5.1961 5.1961 5.1961
angles (deg): 60.00 60.00 60.00
Atoms (fractional coordinates):
1 Ca 0.0000 0.0000 0.0000
2 Ag 0.5000 0.5000 0.5000
3 Hg 0.7500 0.7500 0.7500
4 Sb 0.2500 0.2500 0.2500



The following is a PBE-GGA calculation of TmThCuAu after structural relaxation, from Alexandria.

Properties
The value obtained for the formation energy is -0.41 eV/atom. The raw total energy is -5.228 eV/atom.

a b c (Å): 5.0855 5.0855 5.0855
angles (deg): 60.00 60.00 60.00
Atoms (fractional coordinates):
1 Tm 0.0000 0.0000 0.0000
2 Th 0.5000 0.5000 0.5000
3 Cu 0.7500 0.7500 0.7500
4 Au 0.2500 0.2500 0.2500